## V2ZnO6 (PBE with a Hubbard U)

Data for a relaxed structure of V2ZnO6.

abc: 4.8970 5.3224 9.3154
angles: 90.00 120.73 90.00
Space group Pc (No. 7)
One atom of each set of equivalent atoms:
V 0.0000 0.2503 0.0000 (multiplicity 2)
V 0.4138 0.2500 0.4569 (multiplicity 2)
Zn 0.1156 0.2494 0.6988 (multiplicity 2)
O 0.1450 0.0160 0.8788 (multiplicity 2)
O 0.1459 0.4834 0.8788 (multiplicity 2)
O 0.3143 0.2500 0.1933 (multiplicity 2)
O 0.4730 0.2500 0.6533 (multiplicity 2)
O 0.7770 0.0096 0.5089 (multiplicity 2)
O 0.7780 0.4889 0.5090 (multiplicity 2)

Properties
**Crystal system**: monoclinic
**Energy**: -6.752 eV per atom